VASP calculation (PBE) on crystalline AcCeBiSe at its relaxed geometry.

Output
- formation energy from raw total energies (eV per atom) = -1.0597
- Fermi-level density of states (states/eV/cell) = 11.83
- total magnetization (μB/f.u.) = 2.02
- space group = P4/nmm (129)

The structure in POSCAR format:
```
AcCeBiSe
1.0
5.109 0.000 0.000
0.000 5.109 0.000
0.000 0.000 10.939
Ac Ce Bi Se
2 2 2 2
Direct
0.250 0.250 0.149
0.750 0.750 0.851
0.250 0.750 0.500
0.750 0.250 0.500
0.250 0.250 0.691
0.750 0.750 0.309
0.250 0.750 0.000
0.750 0.250 0.000
```